5
Lattice="5.293 0.000 0.000 0.000 5.887 0.000 0.000 0.000 5.293" Properties=species:S:1:pos:R:3 comment="PBE BaHfZr2Pb, optimized geometry" vol_a3_per_atom=32.984 sg="P4/mmm, No. 123" magmom_total_mub_per_fu=0.00 e_tot_ev_per_atom=-4.653 e_form_ev_per_fu=9.41 pbc="T T T"
Zr 0.000 0.000 2.646
Zr 2.646 0.000 0.000
Pb 0.000 2.944 0.000
Hf 2.646 2.944 2.646
Ba 0.000 0.000 0.000